Below is a relaxed structure of Ag3PdAu4, with properties calculated at the PBE-GGA level. Values from VASP.

```
&SYSTEM
  ibrav = 0, nat = 8, ntyp = 3
/
ATOMIC_SPECIES
Ag 107.87 Ag.upf
Pd 106.42 Pd.upf
Au 196.97 Au.upf
CELL_PARAMETERS angstrom
-2.0567 2.0835 8.2286
2.0567 -2.0835 8.2286
2.0567 2.0835 -8.2286
ATOMIC_POSITIONS crystal
Ag 0.0000 0.0000 0.0000
Ag 0.2503 0.2503 0.0000
Ag 0.7497 0.7497 0.0000
Pd 0.5000 0.5000 0.0000
Au 0.1231 0.6231 0.5000
Au 0.3769 0.8769 0.5000
Au 0.6231 0.1231 0.5000
Au 0.8769 0.3769 0.5000
```

The calculation puts the total energy at -3.426 eV/atom.

=====

Below is a relaxed structure of Ba2LaZn, with properties calculated at the PBE-GGA level. Values from VASP.

```
&SYSTEM
  ibrav = 0, nat = 4, ntyp = 3
/
ATOMIC_SPECIES
Ba 137.33 Ba.upf
La 138.91 La.upf
Zn 65.41 Zn.upf
CELL_PARAMETERS angstrom
3.9057 -5.0083 0.0000
3.9057 5.0083 0.0000
0.0000 0.0000 4.0897
ATOMIC_POSITIONS crystal
Ba 0.0000 0.5000 0.0000
Ba 0.5000 0.0000 0.0000
La 0.0000 0.0000 0.5000
Zn 0.5000 0.5000 0.5000
```

The calculation puts the total energy at -2.352 eV/atom.